Entry 1:
Entry from Alexandria: a relaxed HoTmO2 crystal (PBE-GGA).

Cell: 3.5830 3.5830 19.1795 Å, 90.00 90.00 120.00°
Space group R-3m (No. 166, hexagonal axes)
Symmetry-distinct sites (fractional):
Ho1 0.0000 0.0000 0.0000
Tm1 0.0000 0.0000 0.5000
O1 0.0000 0.0000 0.3875


Entry 2:
Entry from Alexandria: a relaxed HoTmO3 crystal (PBE-GGA).

Cell: 5.5522 5.5522 16.2441 Å, 90.00 90.00 120.00°
Space group R32 (No. 155, hexagonal axes)
Symmetry-distinct sites (fractional):
Ho1 0.0000 0.0000 0.1457
Tm1 0.0000 0.0000 0.3522
O1 0.0045 0.2962 0.2504


Entry 3:
Entry from Alexandria: a relaxed HoTm2O crystal (PBE-GGA).

E above lowest polymorph, eV/atom: 0.543

Cell: 3.1603 3.1603 8.5262 Å, 90.00 90.00 90.00°
Space group P4/mmm (No. 123)
Symmetry-distinct sites (fractional):
Ho1 0.0000 0.0000 0.0000
Tm1 0.5000 0.5000 0.3206
O1 0.0000 0.0000 0.5000


Entry 4:
Entry from Alexandria: a relaxed HoTmO3 crystal (PBE-GGA).

Cell: 5.8918 5.8918 3.0149 Å, 90.00 90.00 120.00°
Space group P-6m2 (No. 187)
Symmetry-distinct sites (fractional):
Ho1 0.0000 0.0000 0.0000
Tm1 0.3333 0.6667 0.0000
O1 0.1680 0.3360 0.5000


Entry 5:
Entry from Alexandria: a relaxed HoTm2O crystal (PBE-GGA).

E above lowest polymorph, eV/atom: 0.000

Cell: 3.4555 3.4555 25.6501 Å, 90.00 90.00 120.00°
Space group R-3m (No. 166, hexagonal axes)
Symmetry-distinct sites (fractional):
Ho1 0.0000 0.0000 0.0000
Tm1 0.0000 0.0000 0.2197
O1 0.0000 0.0000 0.5000


Entry 6:
Entry from Alexandria: a relaxed HoTmO crystal (PBE-GGA).

E above lowest polymorph, eV/atom: 0.000

Cell: 5.6271 3.4867 6.0606 Å, 90.00 90.02 90.00°
Space group P2_1/m (No. 11)
Symmetry-distinct sites (fractional):
Ho1 0.2374 0.2500 0.0786
Tm1 0.2391 0.7500 0.5864
O1 0.0071 0.2500 0.7279


Entry 7:
Entry from Alexandria: a relaxed Ho2TmO crystal (PBE-GGA).

E above lowest polymorph, eV/atom: 0.518

Cell: 3.1745 3.1745 8.5713 Å, 90.00 90.00 90.00°
Space group P4/mmm (No. 123)
Symmetry-distinct sites (fractional):
Ho1 0.0000 0.0000 0.1781
Tm1 0.5000 0.5000 0.5000
O1 0.5000 0.5000 0.0000


Entry 8:
Entry from Alexandria: a relaxed HoTmO3 crystal (PBE-GGA).

Cell: 5.8784 8.3504 5.6134 Å, 90.00 90.00 90.00°
Space group Pnma (No. 62)
Symmetry-distinct sites (fractional):
Ho1 0.0529 0.2500 0.0199
Tm1 0.0000 0.0000 0.5000
O1 0.0794 0.7500 0.3504
O2 0.1886 0.5798 0.8149


Entry 9:
Entry from Alexandria: a relaxed HoTmUO6 crystal (PBE-GGA).

Cell: 5.7086 5.7086 9.3611 Å, 90.00 90.00 120.00°
Space group P-31c (No. 163)
Symmetry-distinct sites (fractional):
Ho1 0.0000 0.0000 0.0000
Tm1 0.3333 0.6667 0.2500
U1 0.3333 0.6667 0.7500
O1 0.0182 0.3520 0.6341


Entry 10:
Entry from Alexandria: a relaxed Ho2TmUO8 crystal (PBE-GGA).

Cell: 3.8331 5.2887 7.4872 Å, 90.00 90.00 90.00°
Space group Pmmm (No. 47)
Symmetry-distinct sites (fractional):
Ho1 0.0000 0.0000 0.2479
Tm1 0.5000 0.5000 0.0000
U1 0.5000 0.5000 0.5000
O1 0.0000 0.2526 0.0000
O2 0.0000 0.2661 0.5000
O3 0.5000 0.2589 0.2683


Entry 11:
Entry from Alexandria: a relaxed HoTm2UO8 crystal (PBE-GGA).

Cell: 3.8309 5.2548 7.4765 Å, 90.00 90.00 90.00°
Space group Pmmm (No. 47)
Symmetry-distinct sites (fractional):
Ho1 0.0000 0.0000 0.0000
Tm1 0.5000 0.5000 0.2488
U1 0.0000 0.0000 0.5000
O1 0.0000 0.2443 0.2694
O2 0.5000 0.2360 0.5000
O3 0.5000 0.2532 0.0000


Entry 12:
Entry from Alexandria: a relaxed Y2HoTmO6 crystal (PBE-GGA).

Cell: 5.7840 5.7840 15.1303 Å, 90.00 90.00 120.00°
Space group R3 (No. 146, hexagonal axes)
Symmetry-distinct sites (fractional):
Y1 0.0000 0.0000 0.0000
Y2 0.0000 0.0000 0.4992
Ho1 0.0000 0.0000 0.2165
Tm1 0.0000 0.0000 0.7151
O1 0.0432 0.3677 0.7760
O2 0.0446 0.6723 0.2766


Entry 13:
Entry from Alexandria: a relaxed HoUO5 crystal (PBE-GGA).

Cell: 4.0641 6.7631 8.4250 Å, 90.00 90.00 90.00°
Space group Immm (No. 71)
Symmetry-distinct sites (fractional):
Ho1 0.0000 0.0000 0.0000
U1 0.0000 0.0000 0.5000
O1 0.0000 0.0000 0.2797
O2 0.0000 0.3278 0.0000
O3 0.0000 0.5000 0.5000


Entry 14:
Entry from Alexandria: a relaxed Ho5U2O12 crystal (PBE-GGA).

Cell: 12.3967 6.0977 7.7726 Å, 90.00 107.97 90.00°
Space group C2/m (No. 12)
Symmetry-distinct sites (fractional):
Ho1 0.0000 0.0000 0.0000
Ho2 0.1879 0.5000 0.2957
Ho3 0.2040 0.5000 0.8640
U1 0.0000 0.2234 0.5000
O1 0.0066 0.5000 0.3169
O2 0.0188 0.0000 0.2896
O3 0.1520 0.2548 0.0612
O4 0.1764 0.2630 0.6115


Entry 15:
Entry from Alexandria: a relaxed HoU2O6 crystal (PBE-GGA).

Cell: 3.8325 3.8325 9.1803 Å, 90.00 90.00 120.00°
Space group P-3m1 (No. 164)
Symmetry-distinct sites (fractional):
Ho1 0.0000 0.0000 0.0000
U1 0.3333 0.6667 0.6714
O1 0.0000 0.0000 0.2591
O2 0.3333 0.6667 0.4188
O3 0.3333 0.6667 0.9066


Entry 16:
Entry from Alexandria: a relaxed HoU2O7 crystal (PBE-GGA).

Cell: 3.8278 3.8278 30.5592 Å, 90.00 90.00 120.00°
Space group R-3m (No. 166, hexagonal axes)
Symmetry-distinct sites (fractional):
Ho1 0.0000 0.0000 0.0000
U1 0.0000 0.0000 0.4320
O1 0.0000 0.0000 0.0766
O2 0.0000 0.0000 0.2203
O3 0.0000 0.0000 0.3616
O4 0.0000 0.0000 0.5000


Entry 17:
Entry from Alexandria: a relaxed Ho2UO6 crystal (PBE-GGA).

E above lowest polymorph, eV/atom: 0.031

Cell: 5.0779 5.0779 10.4038 Å, 90.00 90.00 90.00°
Space group P4_2/mnm (No. 136)
Symmetry-distinct sites (fractional):
Ho1 0.0000 0.0000 0.1660
U1 0.0000 0.0000 0.5000
O1 0.1854 0.1854 0.3437
O2 0.2067 0.2067 0.0000


Entry 18:
Entry from Alexandria: a relaxed Ho2UO6 crystal (PBE-GGA).

E above lowest polymorph, eV/atom: 0.000

Cell: 3.8305 5.3339 11.0746 Å, 90.00 90.00 90.00°
Space group Immm (No. 71)
Symmetry-distinct sites (fractional):
Ho1 0.0000 0.0000 0.1667
U1 0.0000 0.0000 0.5000
O1 0.0000 0.2420 0.3430
O2 0.0000 0.2660 0.0000


Entry 19:
Entry from Alexandria: a relaxed Ho3UO8 crystal (PBE-GGA).

Cell: 5.3382 5.3382 5.3382 Å, 90.00 90.00 90.00°
Space group Pm-3m (No. 221)
Symmetry-distinct sites (fractional):
Ho1 0.0000 0.0000 0.5000
U1 0.5000 0.5000 0.5000
O1 0.2592 0.2592 0.2592


Number 1: raw formation energy -2.967 eV/atom. Number 2: raw formation energy -3.440 eV/atom. Number 3: raw formation energy -0.825 eV/atom. Number 4: raw formation energy -3.437 eV/atom. Number 5: raw formation energy -1.368 eV/atom. Number 6: raw formation energy -1.818 eV/atom. Number 7: raw formation energy -0.833 eV/atom. Number 8: raw formation energy -3.550 eV/atom. Number 9: raw formation energy -3.378 eV/atom. Number 10: raw formation energy -3.300 eV/atom. Number 11: raw formation energy -3.312 eV/atom. Number 12: raw formation energy -3.548 eV/atom. Number 13: raw formation energy -2.739 eV/atom. Number 14: raw formation energy -3.357 eV/atom. Number 15: raw formation energy -3.416 eV/atom. Number 16: raw formation energy -3.290 eV/atom. Number 17: raw formation energy -3.443 eV/atom. Number 18: raw formation energy -3.474 eV/atom. Number 19: raw formation energy -3.300 eV/atom.